[1]
This record from Alexandria describes an optimized crystal structure of Ta6MnRe5. The functional is GGA-PBE.

Crystal system = orthorhombic
E_tot = -12.26 eV/atom
ΔH_f (0 K) = -4.6 eV per formula unit
Magnetization = 0.00 μB per formula unit

a b c (Å): 4.5075 6.3688 7.1233
angles (deg): 90.00 71.56 90.00
Element x y z (fractional)
Re (0.6667, 0.5000, 0.6667)
Re (0.3341, 0.0000, 0.3318)
Re (0.0000, 0.5000, 0.0000)
Re (0.6659, 0.0000, 0.6682)
Re (0.3333, 0.5000, 0.3333)
Mn (0.0000, 0.0000, 0.0000)
Ta (0.8348, 0.7514, 0.3304)
Ta (0.8348, 0.2486, 0.3304)
Ta (0.5000, 0.2465, 0.0000)
Ta (0.5000, 0.7535, 0.0000)
Ta (0.1652, 0.7514, 0.6696)
Ta (0.1652, 0.2486, 0.6696)

=====

[2]
This record from Alexandria describes an optimized crystal structure of Ta2MnRe. The functional is GGA-PBE.

Crystal system = tetragonal
E_tot = -11.31 eV/atom
ΔH_f (0 K) = 0.1 eV per formula unit
Magnetization = 0.00 μB per formula unit

a b c (Å): 2.8587 2.8587 7.7446
angles (deg): 90.00 90.00 90.00
Element x y z (fractional)
Mn (0.0000, 0.0000, 0.5265)
Re (0.5000, 0.5000, 0.7077)
Ta (0.0000, 0.0000, 0.9849)
Ta (0.5000, 0.5000, 0.2808)

=====

Question: The lowest E_tot belongs to which entry?
Answer: Ta6MnRe5

=====

Question: Among the records above, which one has the highest ΔH_f (0 K)?
Answer: Ta2MnRe

=====

Question: E_tot of number 2 (Ta2MnRe)?
Answer: -11.31 eV/atom

=====

Question: What is the formula in the second record?
Answer: Ta2MnRe